The following is a DFT calculation (PBE) of crystalline Sc5Cr4 at its relaxed geometry.

Cell lengths 8.169, 8.169, 5.932 Å; angles 90.00, 90.00, 60.00 degrees
Last column: magnetic moment on the atom in μB.
Fractional positions:
1 Sc 0.286 0.714 0.250  -0.14
2 Sc 0.000 0.286 0.250  -0.14
3 Sc 0.714 0.000 0.250  -0.14
4 Sc 0.714 0.286 0.750  -0.14
5 Sc 0.000 0.714 0.750  -0.14
6 Sc 0.286 0.000 0.750  -0.14
7 Sc 0.333 0.333 0.000  -0.28
8 Sc 0.667 0.667 0.500  -0.28
9 Sc 0.667 0.667 0.000  -0.28
10 Sc 0.333 0.333 0.500  -0.28
11 Cr 0.000 0.000 0.000  2.63
12 Cr 0.000 0.000 0.500  2.63
13 Cr 0.633 0.367 0.250  2.86
14 Cr 0.000 0.633 0.250  2.86
15 Cr 0.367 0.000 0.250  2.86
16 Cr 0.367 0.633 0.750  2.86
17 Cr 0.000 0.367 0.750  2.86
18 Cr 0.633 0.000 0.750  2.86

## Properties
**Calculated total energy**: -7.47 eV per atom
**Energy above the most stable polymorph in this dataset**: 0 meV per atom
**Energy of formation**: 0.328 eV/atom
**Magnetic moment**: 10.5 μB per formula unit

The following is a DFT calculation (PBE) of crystalline Sc5Cr at its relaxed geometry.

Cell lengths 4.696, 4.648, 6.598 Å; angles 110.62, 90.00, 90.00 degrees
Last column: magnetic moment on the atom in μB.
Fractional positions:
1 Sc 0.500 0.845 0.690  -0.23
2 Sc 0.000 0.651 0.303  -0.29
3 Sc 0.500 0.500 0.000  -0.46
4 Sc 0.000 0.349 0.697  -0.29
5 Sc 0.500 0.155 0.310  -0.23
6 Cr 0.000 0.000 0.000  2.90

## Properties
**Calculated total energy**: -6.71 eV per atom
**Energy above the most stable polymorph in this dataset**: 48 meV per atom
**Energy of formation**: 0.166 eV/atom
**Magnetic moment**: 0.9 μB per formula unit

The following is a DFT calculation (PBE) of crystalline Sc5Cr3 at its relaxed geometry.

Cell lengths 8.008, 8.008, 5.878 Å; angles 90.00, 90.00, 60.00 degrees
Last column: magnetic moment on the atom in μB.
Fractional positions:
1 Sc 0.667 0.667 0.000  -0.25
2 Sc 0.333 0.333 0.500  -0.25
3 Sc 0.333 0.333 0.000  -0.25
4 Sc 0.667 0.667 0.500  -0.25
5 Sc 0.251 0.000 0.250  -0.15
6 Sc 0.749 0.000 0.750  -0.15
7 Sc 0.749 0.251 0.250  -0.15
8 Sc 0.000 0.749 0.250  -0.15
9 Sc 0.000 0.251 0.750  -0.15
10 Sc 0.251 0.749 0.750  -0.15
11 Cr 0.601 0.000 0.250  2.83
12 Cr 0.399 0.000 0.750  2.83
13 Cr 0.399 0.601 0.250  2.83
14 Cr 0.000 0.399 0.250  2.83
15 Cr 0.000 0.601 0.750  2.83
16 Cr 0.601 0.399 0.750  2.83

## Properties
**Calculated total energy**: -7.28 eV per atom
**Energy above the most stable polymorph in this dataset**: 36 meV per atom
**Energy of formation**: 0.290 eV/atom
**Magnetic moment**: 7.7 μB per formula unit

The following is a DFT calculation (PBE) of crystalline ScCr at its relaxed geometry.

Cell lengths 4.800, 4.800, 4.800 Å; angles 37.06, 37.06, 37.06 degrees
Last column: magnetic moment on the atom in μB.
Fractional positions:
1 Cr 0.000 0.000 0.000  2.42
2 Sc 0.500 0.500 0.500  -0.20

## Properties
**Calculated total energy**: -7.44 eV per atom
**Energy of formation**: 0.534 eV/atom
**Magnetic moment**: 2.3 μB per formula unit